Record 1
VASP calculation (PBE-GGA) on crystalline YHoSN at its relaxed geometry.

abc: 6.5962 6.5962 6.5962
angles: 31.81 31.81 31.81
Element x y z (fractional)
1 Y 0.0000 0.0000 0.0000
2 Ho 0.5276 0.5276 0.5276
3 S 0.7644 0.7644 0.7644
4 N 0.2622 0.2622 0.2622

SG ... R3m
V ... 17.7 A^3/atom
Uncorrected energy ... -7.734 eV per atom
N(E_F) ... 1.2 states/eV/cell
Uncorrected formation energy ... -1.861 eV per atom

Record 2
VASP calculation (PBE-GGA) on crystalline Ho3Sb2N at its relaxed geometry.

abc: 7.1838 7.1838 7.7456
angles: 102.34 102.34 51.13
Element x y z (fractional)
1 Ho 0.0921 0.9079 0.7500
2 Ho 0.3186 0.4182 0.3711
3 Ho 0.4182 0.3186 0.8711
4 Ho 0.5818 0.6814 0.1289
5 Ho 0.6814 0.5818 0.6289
6 Ho 0.9079 0.0921 0.2500
7 Sb 0.1276 0.2225 0.0563
8 Sb 0.2225 0.1276 0.5563
9 Sb 0.7775 0.8724 0.4437
10 Sb 0.8724 0.7775 0.9437
11 N 0.4456 0.5544 0.7500
12 N 0.5544 0.4456 0.2500

SG ... C2/c
V ... 25.2 A^3/atom
Uncorrected energy ... -6.136 eV per atom
N(E_F) ... 1.8 states/eV/cell
Uncorrected formation energy ... -1.085 eV per atom

Record 3
VASP calculation (PBE-GGA) on crystalline Ho12Sb3N5 at its relaxed geometry.

abc: 13.4267 13.4267 13.4267
angles: 109.47 109.47 109.47
Element x y z (fractional)
1 Ho 0.0094 0.1962 0.1079
2 Ho 0.0094 0.3132 0.9014
3 Ho 0.0882 0.6962 0.6868
4 Ho 0.0882 0.8921 0.4014
5 Ho 0.0986 0.6079 0.4118
6 Ho 0.0986 0.9906 0.6868
7 Ho 0.1079 0.0094 0.1962
8 Ho 0.1079 0.5986 0.9118
9 Ho 0.1868 0.1962 0.5882
10 Ho 0.1868 0.4906 0.5986
11 Ho 0.1962 0.1079 0.0094
12 Ho 0.1962 0.5882 0.1868
13 Ho 0.3038 0.3132 0.9118
14 Ho 0.3038 0.4906 0.3921
15 Ho 0.3132 0.9014 0.0094
16 Ho 0.3132 0.9118 0.3038
17 Ho 0.3921 0.3038 0.4906
18 Ho 0.3921 0.5882 0.9014
19 Ho 0.4014 0.0882 0.8921
20 Ho 0.4014 0.8132 0.5094
21 Ho 0.4118 0.0986 0.6079
22 Ho 0.4118 0.8132 0.8038
23 Ho 0.4906 0.3921 0.3038
24 Ho 0.4906 0.5986 0.1868
25 Ho 0.5094 0.4014 0.8132
26 Ho 0.5094 0.6079 0.6962
27 Ho 0.5882 0.1868 0.1962
28 Ho 0.5882 0.9014 0.3921
29 Ho 0.5986 0.1868 0.4906
30 Ho 0.5986 0.9118 0.1079
31 Ho 0.6079 0.4118 0.0986
32 Ho 0.6079 0.6962 0.5094
33 Ho 0.6868 0.0882 0.6962
34 Ho 0.6868 0.0986 0.9906
35 Ho 0.6962 0.5094 0.6079
36 Ho 0.6962 0.6868 0.0882
37 Ho 0.8038 0.4118 0.8132
38 Ho 0.8038 0.8921 0.9906
39 Ho 0.8132 0.5094 0.4014
40 Ho 0.8132 0.8038 0.4118
41 Ho 0.8921 0.4014 0.0882
42 Ho 0.8921 0.9906 0.8038
43 Ho 0.9014 0.0094 0.3132
44 Ho 0.9014 0.3921 0.5882
45 Ho 0.9118 0.1079 0.5986
46 Ho 0.9118 0.3038 0.3132
47 Ho 0.9906 0.6868 0.0986
48 Ho 0.9906 0.8038 0.8921
49 Sb 0.1250 0.2500 0.3750
50 Sb 0.1250 0.3750 0.7500
51 Sb 0.2500 0.3750 0.1250
52 Sb 0.2500 0.8750 0.6250
53 Sb 0.3750 0.1250 0.2500
54 Sb 0.3750 0.7500 0.1250
55 Sb 0.6250 0.2500 0.8750
56 Sb 0.6250 0.8750 0.7500
57 Sb 0.7500 0.1250 0.3750
58 Sb 0.7500 0.6250 0.8750
59 Sb 0.8750 0.6250 0.2500
60 Sb 0.8750 0.7500 0.6250
61 N 0.0000 0.0000 0.0000
62 N 0.0000 0.0000 0.5000
63 N 0.0000 0.5000 0.0000
64 N 0.0000 0.5000 0.5000
65 N 0.1250 0.7500 0.8750
66 N 0.1250 0.8750 0.2500
67 N 0.2500 0.1250 0.8750
68 N 0.2500 0.6250 0.3750
69 N 0.3750 0.2500 0.6250
70 N 0.3750 0.6250 0.7500
71 N 0.5000 0.0000 0.0000
72 N 0.5000 0.0000 0.5000
73 N 0.5000 0.5000 0.0000
74 N 0.5000 0.5000 0.5000
75 N 0.6250 0.3750 0.2500
76 N 0.6250 0.7500 0.3750
77 N 0.7500 0.3750 0.6250
78 N 0.7500 0.8750 0.1250
79 N 0.8750 0.1250 0.7500
80 N 0.8750 0.2500 0.1250

SG ... Ia-3d
V ... 23.3 A^3/atom
Uncorrected energy ... -6.473 eV per atom
N(E_F) ... 56.7 states/eV/cell
Uncorrected formation energy ... -1.027 eV per atom

Record 4
VASP calculation (PBE-GGA) on crystalline Ho4Sb2N at its relaxed geometry.

abc: 6.3166 6.3166 8.1138
angles: 114.18 114.18 35.17
Element x y z (fractional)
1 Ho 0.0580 0.0580 0.3236
2 Ho 0.3601 0.3601 0.9492
3 Ho 0.6399 0.6399 0.0508
4 Ho 0.9420 0.9420 0.6764
5 Sb 0.3397 0.3397 0.3207
6 Sb 0.6603 0.6603 0.6793
7 N 0.0000 0.0000 0.0000

SG ... C2/m
V ... 24.1 A^3/atom
Relative energy among the computed polymorphs ... 0.062 eV/atom
Uncorrected energy ... -6.003 eV per atom
N(E_F) ... 6.6 states/eV/cell
Uncorrected formation energy ... -1.020 eV per atom

Record 5
VASP calculation (PBE-GGA) on crystalline Ho4Sb3N at its relaxed geometry.

abc: 9.5756 8.4984 6.1422
angles: 90.00 90.00 90.00
Element x y z (fractional)
1 Ho 0.0000 0.0906 0.0000
2 Ho 0.0000 0.8186 0.5653
3 Ho 0.2067 0.6946 0.0010
4 Ho 0.2933 0.3054 0.5010
5 Ho 0.5000 0.1814 0.0653
6 Ho 0.5000 0.9094 0.5000
7 Ho 0.7067 0.3054 0.5010
8 Ho 0.7933 0.6946 0.0010
9 Sb 0.0000 0.1576 0.4901
10 Sb 0.2316 0.3374 0.9902
11 Sb 0.2684 0.6626 0.4902
12 Sb 0.5000 0.8424 0.9901
13 Sb 0.7316 0.6626 0.4902
14 Sb 0.7684 0.3374 0.9902
15 N 0.0000 0.8216 0.9293
16 N 0.5000 0.1784 0.4293

SG ... Pmn2_1
V ... 31.2 A^3/atom
Uncorrected energy ... -5.840 eV per atom
N(E_F) ... 0.6 states/eV/cell
Uncorrected formation energy ... -0.965 eV per atom

Record 6
VASP calculation (PBE-GGA) on crystalline Ho4Sb2N at its relaxed geometry.

abc: 8.6568 8.6568 8.6568
angles: 149.18 149.18 44.15
Element x y z (fractional)
1 Ho 0.0000 0.5000 0.5000
2 Ho 0.1639 0.1639 0.0000
3 Ho 0.5000 0.0000 0.5000
4 Ho 0.8361 0.8361 0.0000
5 Sb 0.3572 0.3572 0.0000
6 Sb 0.6428 0.6428 0.0000
7 N 0.0000 0.0000 0.0000

SG ... I4/mmm
V ... 24.3 A^3/atom
Relative energy among the computed polymorphs ... 0.000 eV/atom
Uncorrected energy ... -6.065 eV per atom
N(E_F) ... 6.2 states/eV/cell
Uncorrected formation energy ... -1.082 eV per atom

Record 7
VASP calculation (PBE-GGA) on crystalline HoSbN at its relaxed geometry.

abc: 4.1190 4.1190 7.7267
angles: 90.00 90.00 90.00
Element x y z (fractional)
1 Ho 0.2500 0.2500 0.1180
2 Ho 0.7500 0.7500 0.8820
3 Sb 0.2500 0.2500 0.5670
4 Sb 0.7500 0.7500 0.4330
5 N 0.2500 0.7500 0.0000
6 N 0.7500 0.2500 0.0000

SG ... P4/nmm
V ... 21.8 A^3/atom
Relative energy among the computed polymorphs ... 0.000 eV/atom
Uncorrected energy ... -6.482 eV per atom
N(E_F) ... 2.9 states/eV/cell
Uncorrected formation energy ... -0.807 eV per atom

Record 8
VASP calculation (PBE-GGA) on crystalline HoSbN at its relaxed geometry.

abc: 8.8308 3.8600 3.8600
angles: 88.90 90.00 90.00
Element x y z (fractional)
1 Ho 0.1277 0.2500 0.7500
2 Ho 0.8723 0.7500 0.2500
3 Sb 0.5000 0.1938 0.1938
4 Sb 0.5000 0.6938 0.6938
5 N 0.1107 0.6677 0.1677
6 N 0.8893 0.1677 0.6677

SG ... Aem2
V ... 21.9 A^3/atom
Relative energy among the computed polymorphs ... 0.382 eV/atom
Uncorrected energy ... -6.100 eV per atom
N(E_F) ... 3.5 states/eV/cell
Uncorrected formation energy ... -0.425 eV per atom

The highest V belongs to which entry?
Ho4Sb3N